[1]
A geometry-optimized MgCu2F6 structure, computed with PBE.

a = 4.660 Å, b = 5.641 Å, c = 8.470 Å
α = 90.00°, β = 90.00°, γ = 90.00°
Positions (direct):
Mg1 0.500 0.500 0.000
Mg2 0.000 0.000 0.500
Cu1 0.500 0.000 0.181
Cu2 0.000 0.500 0.319
Cu3 0.000 0.500 0.681
Cu4 0.500 0.000 0.819
F1 0.250 0.142 0.667
F2 0.251 0.142 0.333
F3 0.314 0.169 0.000
F4 0.814 0.331 0.500
F5 0.751 0.358 0.167
F6 0.750 0.358 0.833
F7 0.750 0.858 0.333
F8 0.749 0.858 0.667
F9 0.686 0.831 0.000
F10 0.186 0.669 0.500
F11 0.249 0.642 0.833
F12 0.250 0.642 0.167

Calculated values
formation energy (no corrections) = -2.152 eV/atom
space group = Pnnm (58)
size of the total moment = 0.22 μB per atom

[2]
A geometry-optimized KAlMo2 structure, computed with PBE.

a = 3.229 Å, b = 3.229 Å, c = 8.507 Å
α = 90.00°, β = 90.00°, γ = 90.00°
Positions (direct):
Mo1 0.000 0.000 0.092
Mo2 0.500 0.500 0.245
K1 0.500 0.500 0.745
Al1 0.000 0.000 0.418

Calculated values
space group = P4mm (99)
formation enthalpy at 0 K = 0.466 eV/atom
size of the total moment = 0.00 μB per atom

[3]
A geometry-optimized Ac2TaNbN6 structure, computed with PBE.

a = 5.916 Å, b = 5.835 Å, c = 8.262 Å
α = 90.00°, β = 89.99°, γ = 90.00°
Positions (direct):
Ac1 0.002 0.000 0.250
Ac2 0.502 0.500 0.750
Ac3 0.998 0.000 0.750
Ac4 0.498 0.500 0.250
Ta1 0.500 0.000 0.000
Ta2 0.000 0.500 0.500
Nb1 0.500 0.000 0.500
Nb2 0.000 0.500 0.000
N1 0.251 0.751 0.029
N2 0.751 0.749 0.529
N3 0.749 0.249 0.971
N4 0.249 0.251 0.471
N5 0.249 0.749 0.471
N6 0.749 0.751 0.971
N7 0.751 0.251 0.529
N8 0.251 0.249 0.029
N9 0.944 0.500 0.251
N10 0.444 0.000 0.751
N11 0.056 0.500 0.749
N12 0.556 0.000 0.249

Calculated values
formation energy (no corrections) = -0.988 eV/atom
space group = C2/m (12)
size of the total moment = 0.00 μB per atom

[4]
A geometry-optimized Ac4S3N structure, computed with PBE.

a = 4.155 Å, b = 7.348 Å, c = 7.348 Å
α = 108.70°, β = 90.00°, γ = 90.00°
Positions (direct):
Ac1 0.000 0.221 0.221
Ac2 0.500 0.766 0.234
Ac3 0.000 0.779 0.779
Ac4 0.500 0.234 0.766
S1 0.000 0.000 0.500
S2 0.500 0.500 0.500
S3 0.000 0.500 0.000
N1 0.500 0.000 0.000

Calculated values
formation energy (no corrections) = -1.760 eV/atom
space group = Cmmm (65)
size of the total moment = 0.00 μB per atom

[5]
A geometry-optimized Sr2PtPb structure, computed with PBE.

a = 8.716 Å, b = 8.716 Å, c = 7.074 Å
α = 51.97°, β = 51.97°, γ = 90.00°
Positions (direct):
Pb1 0.000 0.000 0.000
Pb2 0.750 0.250 0.500
Sr1 0.573 0.125 0.250
Sr2 0.177 0.625 0.250
Sr3 0.375 0.427 0.750
Sr4 0.875 0.823 0.750
Pt1 0.500 0.500 0.000
Pt2 0.250 0.750 0.500

Calculated values
space group = I-42d (122)
formation enthalpy at 0 K = -0.359 eV/atom
size of the total moment = 0.00 μB per atom

[6]
A geometry-optimized LiCeAs structure, computed with PBE.

a = 4.042 Å, b = 4.042 Å, c = 5.057 Å
α = 113.56°, β = 113.56°, γ = 90.00°
Positions (direct):
As1 0.634 0.634 0.268
Ce1 0.278 0.278 0.555
Li1 0.939 0.939 0.877

Calculated values
space group = I4mm (107)
formation enthalpy at 0 K = -0.545 eV/atom
size of the total moment = 0.56 μB per atom

[7]
A geometry-optimized Dy2HfZrAs4 structure, computed with PBE.

a = 3.956 Å, b = 6.861 Å, c = 6.930 Å
α = 109.32°, β = 90.00°, γ = 90.00°
Positions (direct):
Dy1 0.500 0.000 0.500
Dy2 0.000 0.500 0.500
Hf1 0.500 0.500 0.000
Zr1 0.000 0.000 0.000
As1 0.500 0.248 0.236
As2 0.500 0.752 0.764
As3 0.000 0.258 0.766
As4 0.000 0.742 0.234

Calculated values
space group = P2/m (10)
formation enthalpy at 0 K = -1.288 eV/atom
size of the total moment = 0.00 μB per atom

[8]
A geometry-optimized YCoGe3 structure, computed with PBE.

a = 4.620 Å, b = 4.620 Å, c = 4.620 Å
α = 90.00°, β = 90.00°, γ = 90.00°
Positions (direct):
Y1 0.500 0.500 0.500
Ge1 0.000 0.500 0.000
Ge2 0.000 0.000 0.500
Ge3 0.500 0.000 0.000
Co1 0.000 0.000 0.000

Calculated values
space group = Pm-3m (221)
formation enthalpy at 0 K = -0.088 eV/atom
size of the total moment = 0.00 μB per atom

[9]
A geometry-optimized V2AgPt2 structure, computed with PBE.

a = 7.606 Å, b = 7.606 Å, c = 2.723 Å
α = 90.00°, β = 90.00°, γ = 90.00°
Positions (direct):
Pt1 0.175 0.675 0.500
Pt2 0.675 0.825 0.500
Pt3 0.825 0.325 0.500
Pt4 0.325 0.175 0.500
Ag1 0.000 0.000 0.000
Ag2 0.500 0.500 0.000
V1 0.386 0.886 0.000
V2 0.886 0.614 0.000
V3 0.614 0.114 0.000
V4 0.114 0.386 0.000

Calculated values
space group = P4/mbm (127)
formation enthalpy at 0 K = -0.241 eV/atom
size of the total moment = 0.00 μB per atom

[10]
A geometry-optimized Ac2CeSbO8 structure, computed with PBE.

a = 4.441 Å, b = 5.639 Å, c = 7.431 Å
α = 90.00°, β = 90.00°, γ = 95.25°
Positions (direct):
Ac1 0.500 0.500 0.759
Ac2 0.500 0.500 0.241
Ce1 0.000 0.000 0.500
Sb1 0.000 0.000 0.000
O1 0.059 0.772 0.215
O2 0.589 0.828 0.000
O3 0.941 0.228 0.215
O4 0.941 0.228 0.785
O5 0.411 0.172 0.000
O6 0.059 0.772 0.785
O7 0.591 0.763 0.500
O8 0.409 0.237 0.500

Calculated values
formation energy (no corrections) = -2.553 eV/atom
space group = P2/m (10)
size of the total moment = 0.08 μB per atom

[11]
A geometry-optimized Ac2NdHoTe6 structure, computed with PBE.

a = 8.149 Å, b = 8.149 Å, c = 8.539 Å
α = 61.51°, β = 61.51°, γ = 60.01°
Positions (direct):
Ac1 0.522 0.522 0.435
Ac2 0.021 0.021 0.938
Nd1 0.820 0.820 0.539
Ho1 0.322 0.321 0.035
Te1 0.590 0.199 0.258
Te2 0.198 0.953 0.258
Te3 0.953 0.590 0.258
Te4 0.444 0.692 0.764
Te5 0.692 0.100 0.764
Te6 0.100 0.444 0.764

Calculated values
formation energy (no corrections) = -1.445 eV/atom
space group = R3 (146)
size of the total moment = 0.00 μB per atom

[12]
A geometry-optimized Pr4Tl5Pd2 structure, computed with PBE.

a = 3.848 Å, b = 8.091 Å, c = 9.923 Å
α = 93.92°, β = 90.00°, γ = 90.00°
Positions (direct):
Pr1 0.500 0.778 0.575
Pr2 0.500 0.193 0.850
Pr3 0.500 0.222 0.425
Pr4 0.500 0.807 0.150
Tl1 0.000 0.548 0.334
Tl2 0.000 0.153 0.139
Tl3 0.000 0.500 0.000
Tl4 0.000 0.847 0.861
Tl5 0.000 0.452 0.666
Pd1 0.000 0.076 0.633
Pd2 0.000 0.924 0.367

Calculated values
space group = P2/m (10)
formation enthalpy at 0 K = -0.484 eV/atom
size of the total moment = 0.00 μB per atom

[13]
A geometry-optimized TbDyTm2 structure, computed with PBE.

a = 4.954 Å, b = 4.975 Å, c = 4.975 Å
α = 90.00°, β = 90.00°, γ = 90.00°
Positions (direct):
Tm1 0.000 0.000 0.500
Tm2 0.000 0.500 0.000
Tb1 0.500 0.500 0.500
Dy1 0.500 0.000 0.000

Calculated values
space group = P4/mmm (123)
formation enthalpy at 0 K = 0.023 eV/atom
size of the total moment = 0.00 μB per atom

[14]
A geometry-optimized LiCo2Ir structure, computed with PBE.

a = 4.807 Å, b = 4.807 Å, c = 4.807 Å
α = 145.70°, β = 130.45°, γ = 61.65°
Positions (direct):
Co1 0.003 0.003 0.000
Co2 0.497 0.497 0.000
Ir1 0.750 0.250 0.500
Li1 0.250 0.750 0.500

Calculated values
space group = Immm (71)
formation enthalpy at 0 K = 0.076 eV/atom
size of the total moment = 0.92 μB per atom

[15]
A geometry-optimized FeIrAu2 structure, computed with PBE.

a = 5.347 Å, b = 5.347 Å, c = 5.347 Å
α = 147.23°, β = 128.39°, γ = 62.49°
Positions (direct):
Au1 0.005 0.005 0.000
Au2 0.735 0.235 0.500
Fe1 0.488 0.488 0.000
Ir1 0.272 0.772 0.500

Calculated values
space group = Imm2 (44)
formation enthalpy at 0 K = 0.267 eV/atom
size of the total moment = 0.95 μB per atom

[16]
A geometry-optimized Y2ScNiN structure, computed with PBE.

a = 4.803 Å, b = 4.803 Å, c = 4.198 Å
α = 90.00°, β = 90.00°, γ = 90.00°
Positions (direct):
Y1 0.000 0.500 0.000
Y2 0.500 0.000 0.000
Ni1 0.500 0.500 0.500
Sc1 0.000 0.000 0.500
N1 0.000 0.000 0.000

Calculated values
formation energy (no corrections) = -0.732 eV/atom
space group = P4/mmm (123)
size of the total moment = 0.00 μB per atom

[17]
A geometry-optimized NaZnSn2 structure, computed with PBE.

a = 4.686 Å, b = 5.879 Å, c = 7.845 Å
α = 87.53°, β = 90.00°, γ = 90.00°
Positions (direct):
Na1 0.750 0.510 0.820
Na2 0.250 0.490 0.180
Zn1 0.750 0.273 0.407
Zn2 0.250 0.727 0.593
Sn1 0.750 0.062 0.099
Sn2 0.250 0.938 0.901
Sn3 0.750 0.759 0.414
Sn4 0.250 0.241 0.586

Calculated values
space group = P2_1/m (11)
formation enthalpy at 0 K = -0.051 eV/atom
size of the total moment = 0.00 μB per atom

[18]
A geometry-optimized Al2ZnPt structure, computed with PBE.

a = 3.542 Å, b = 3.178 Å, c = 6.254 Å
α = 59.46°, β = 90.00°, γ = 90.00°
Positions (direct):
Zn1 0.500 0.750 0.750
Al1 0.000 0.998 0.002
Al2 0.000 0.502 0.498
Pt1 0.500 0.250 0.250

Calculated values
space group = Pmmm (47)
formation enthalpy at 0 K = -0.469 eV/atom
size of the total moment = 0.00 μB per atom

[19]
A geometry-optimized Pr2GeSb4 structure, computed with PBE.

a = 4.364 Å, b = 4.364 Å, c = 11.098 Å
α = 90.00°, β = 90.00°, γ = 90.00°
Positions (direct):
Pr1 0.500 0.000 0.727
Pr2 0.000 0.500 0.273
Ge1 0.500 0.500 0.000
Sb1 0.500 0.000 0.170
Sb2 0.000 0.500 0.830
Sb3 0.500 0.500 0.500
Sb4 0.000 0.000 0.500

Calculated values
formation energy (no corrections) = -0.616 eV/atom
space group = P-4m2 (115)
size of the total moment = 0.00 μB per atom

[20]
A geometry-optimized PmCd11Cu structure, computed with PBE.

a = 5.839 Å, b = 7.563 Å, c = 7.609 Å
α = 81.71°, β = 67.44°, γ = 67.91°
Positions (direct):
Pm1 0.000 0.000 0.000
Cd1 0.301 0.219 0.208
Cd2 0.699 0.781 0.792
Cd3 0.491 0.781 0.208
Cd4 0.509 0.219 0.792
Cd5 0.360 0.643 0.658
Cd6 0.640 0.357 0.342
Cd7 0.982 0.357 0.658
Cd8 0.018 0.643 0.342
Cd9 0.000 0.500 0.000
Cd10 0.500 0.000 0.500
Cd11 0.000 0.000 0.500
Cu1 0.500 0.500 0.000

Calculated values
space group = C2/m (12)
formation enthalpy at 0 K = -0.101 eV/atom
size of the total moment = 0.00 μB per atom

[21]
A geometry-optimized BaPt structure, computed with PBE.

a = 5.147 Å, b = 5.147 Å, c = 5.497 Å
α = 90.00°, β = 90.00°, γ = 120.00°
Positions (direct):
Ba1 0.667 0.333 0.250
Ba2 0.333 0.667 0.750
Pt1 0.000 0.000 0.000
Pt2 0.000 0.000 0.500

Calculated values
space group = P6_3/mmc (194)
formation enthalpy at 0 K = -0.762 eV/atom
size of the total moment = 0.00 μB per atom

[22]
A geometry-optimized GdBiO structure, computed with PBE.

a = 3.750 Å, b = 3.750 Å, c = 6.132 Å
α = 90.00°, β = 90.00°, γ = 120.00°
Positions (direct):
Gd1 0.667 0.333 0.499
Bi1 0.000 0.000 0.000
O1 0.333 0.667 0.500

Calculated values
formation energy (no corrections) = -1.923 eV/atom
space group = P3m1 (156)
size of the total moment = 2.33 μB per atom

[23]
A geometry-optimized SiIr structure, computed with PBE.

a = 5.337 Å, b = 5.337 Å, c = 5.337 Å
α = 148.19°, β = 135.15°, γ = 56.03°
Positions (direct):
Ir1 0.018 0.018 0.000
Ir2 0.732 0.232 0.500
Si1 0.508 0.508 0.000
Si2 0.242 0.742 0.500

Calculated values
formation energy (no corrections) = -0.267 eV/atom
space group = Imma (74)
size of the total moment = 0.00 μB per atom

[24]
A geometry-optimized Nd8InSe6 structure, computed with PBE.

a = 4.226 Å, b = 10.954 Å, c = 10.954 Å
α = 120.00°, β = 90.00°, γ = 90.00°
Positions (direct):
Nd1 0.750 0.964 0.292
Nd2 0.750 0.708 0.673
Nd3 0.750 0.327 0.036
Nd4 0.250 0.036 0.708
Nd5 0.250 0.292 0.327
Nd6 0.250 0.673 0.964
Nd7 0.750 0.333 0.667
Nd8 0.250 0.667 0.333
In1 0.500 0.000 0.000
Se1 0.748 0.649 0.133
Se2 0.748 0.867 0.516
Se3 0.748 0.484 0.351
Se4 0.252 0.351 0.867
Se5 0.252 0.133 0.484
Se6 0.252 0.516 0.649

Calculated values
formation energy (no corrections) = -1.377 eV/atom
space group = P-3 (147)
size of the total moment = 0.00 μB per atom

[25]
A geometry-optimized YGaTeF2 structure, computed with PBE.

a = 4.461 Å, b = 4.461 Å, c = 6.155 Å
α = 90.00°, β = 90.00°, γ = 90.00°
Positions (direct):
Y1 0.000 0.000 0.000
Te1 0.000 0.000 0.500
Ga1 0.500 0.500 0.500
F1 0.000 0.500 0.000
F2 0.500 0.000 0.000

Calculated values
formation energy (no corrections) = -2.311 eV/atom
space group = P4/mmm (123)
size of the total moment = 0.00 μB per atom